DFT (PBE) results for a geometry-optimized TaTiCo structure.

a = 4.8387 Å, b = 8.6723 Å, c = 17.3544 Å
α = 90.00°, β = 90.00°, γ = 90.00°
Space group Fddd (No. 70, origin choice 2)
Inequivalent atoms, fractional coordinates:
Ta  0.1250  0.2934  0.1250 x16
Ti  0.1250  0.1250  0.5447 x16
Co  0.1250  0.1250  0.0016 x16

Results
E_tot	-9.189	eV/atom
total magnetic moment	0.00	μB/atom
distance to the lowest polymorph of the same formula	0.012	eV/atom
DOS(E_F)	59.01	states/eV per cell
formation enthalpy at 0 K	-0.24	eV/atom

***

DFT (PBE) results for a geometry-optimized TaTi2Co3 structure.

a = 4.1163 Å, b = 6.5414 Å, c = 11.9208 Å
α = 90.00°, β = 90.00°, γ = 90.00°
Space group Imma (No. 74)
Inequivalent atoms, fractional coordinates:
Ta  0.0000  0.2500  0.1765 x4
Ti  0.0000  0.2500  0.4811 x4
Ti  0.0000  0.2500  0.8408 x4
Co  0.0000  0.0000  0.0000 x4
Co  0.0000  0.0369  0.6655 x8

Results
E_tot	-8.477	eV/atom
total magnetic moment	0.00	μB/atom
distance to the lowest polymorph of the same formula	0.000	eV/atom
DOS(E_F)	21.02	states/eV per cell
formation enthalpy at 0 K	-0.32	eV/atom